(1)
Computed, not measured: a crystal of BiSbPt relaxed with PBEsol at the meta-GGA SCAN level of DFT.

abc: 6.5870 6.5870 6.5870
angles: 90.00 90.00 90.00
Atoms (fractional coordinates):
Bi (0.1289, 0.1289, 0.1289)
Bi (0.3711, 0.8711, 0.6289)
Bi (0.6289, 0.3711, 0.8711)
Bi (0.8711, 0.6289, 0.3711)
Sb (0.1269, 0.3731, 0.6269)
Sb (0.3731, 0.6269, 0.1269)
Sb (0.6269, 0.1269, 0.3731)
Sb (0.8731, 0.8731, 0.8731)
Pt (0.0099, 0.5099, 0.9901)
Pt (0.4901, 0.4901, 0.4901)
Pt (0.5099, 0.9901, 0.0099)
Pt (0.9901, 0.0099, 0.5099)

Properties
- SG: No. 198
- E_form (uncorrected): -0.4650 eV/atom

***

(2)
Computed, not measured: a crystal of BiSbPt3 relaxed with PBEsol at the meta-GGA SCAN level of DFT.

abc: 4.8983 4.8983 4.8983
angles: 90.00 90.00 90.00
Atoms (fractional coordinates):
Bi (0.0000, 0.0000, 0.0000)
Sb (0.5000, 0.5000, 0.5000)
Pt (0.0000, 0.5000, 0.5000)
Pt (0.5000, 0.0000, 0.5000)
Pt (0.5000, 0.5000, 0.0000)

Properties
- SG: No. 221
- E_form (uncorrected): 0.6016 eV/atom

***

(3)
Computed, not measured: a crystal of Sc2BiPt2 relaxed with PBEsol at the meta-GGA SCAN level of DFT.

abc: 7.6788 7.6788 3.2819
angles: 90.00 90.00 90.00
Atoms (fractional coordinates):
Sc (0.1623, 0.3377, 0.0000)
Sc (0.3377, 0.8377, 0.0000)
Sc (0.6623, 0.1623, 0.0000)
Sc (0.8377, 0.6623, 0.0000)
Bi (0.0000, 0.0000, 0.5000)
Bi (0.5000, 0.5000, 0.5000)
Pt (0.1289, 0.6289, 0.5000)
Pt (0.3711, 0.1289, 0.5000)
Pt (0.6289, 0.8711, 0.5000)
Pt (0.8711, 0.3711, 0.5000)

Properties
- SG: No. 127
- ΔE_f: -1.1763 eV per atom